1.
First-principles (PBE-GGA) data for a relaxed SrCr crystal, as listed in the Alexandria database.

Lattice parameters (Å, degrees): 3.3538 5.6912 10.7453 90.00 90.00 90.00
With the nearest neighbours (Å) after each atom.
Space group Imma (No. 74)
Inequivalent atoms, fractional coordinates:
Sr 0.0000 0.2500 0.0983  6 Sr 3.35-3.67, 8 Cr 3.44-3.66
Cr 0.0000 0.2500 0.6874  2 Cr 2.15

The value obtained for the final energy is -4.81 eV/atom. The formation energy from the elements is 843 meV/atom.

---

2.
First-principles (PBE-GGA) data for a relaxed SrCr2 crystal, as listed in the Alexandria database.

Lattice parameters (Å, degrees): 8.3627 8.3627 4.6133 90.00 90.00 120.00
With the nearest neighbours (Å) after each atom.
Space group P-62m (No. 189)
Inequivalent atoms, fractional coordinates:
Sr 0.0000 0.0000 0.0000  9 Cr 3.10-3.36
Sr 0.3333 0.6667 0.5000  9 Cr 3.20-3.44
Cr 0.0000 0.2481 0.5000  2 Cr 2.64
Cr 0.0000 0.4014 0.0000  2 Cr 2.64

The value obtained for the final energy is -5.80 eV/atom. The formation energy from the elements is 1172 meV/atom.